# CaSc2Si, relaxed, DFT PBE
# Raw formation energy (eV/atom): -0.1325
data_CaSc2Si
_chemical_formula_sum 'Ca3 Sc6 Si3'
_cell_length_a 3.8245
_cell_length_b 3.8245
_cell_length_c 27.4537
_cell_angle_alpha 90.00
_cell_angle_beta 90.00
_cell_angle_gamma 120.00
_symmetry_space_group_name_H-M 'R -3 m'
_symmetry_Int_Tables_number 166
_symmetry_space_group_name_Hall '-R 3 2"'
loop_
_atom_site_label
_atom_site_type_symbol
_atom_site_fract_x
_atom_site_fract_y
_atom_site_fract_z
Ca1 Ca 0.0000 0.0000 0.0000
Sc1 Sc 0.0000 0.0000 0.2194
Si1 Si 0.0000 0.0000 0.5000


# InP2Au, relaxed, DFT PBE
# Calculated formation energy (kJ/mol of atoms): 51.9
data_InP2Au
_chemical_formula_sum 'In1 P2 Au1'
_cell_length_a 4.164
_cell_length_b 4.164
_cell_length_c 4.330
_cell_angle_alpha 90.00
_cell_angle_beta 90.00
_cell_angle_gamma 90.00
_symmetry_space_group_name_H-M 'P 4/m m m'
_symmetry_Int_Tables_number 123
_symmetry_space_group_name_Hall '-P 4 2'
loop_
_atom_site_label
_atom_site_type_symbol
_atom_site_fract_x
_atom_site_fract_y
_atom_site_fract_z
In1 In 0.000 0.000 0.000
P1 P 0.000 0.500 0.500
Au1 Au 0.500 0.500 0.000


# Pr4Dy2Y5, relaxed, DFT PBE
# Calculated formation energy (kJ/mol of atoms): 9.8
# Offset from the most stable computed form (eV/atom): 0.000
data_Pr4Dy2Y5
_chemical_formula_sum 'Pr8 Dy4 Y10'
_cell_length_a 19.311
_cell_length_b 5.710
_cell_length_c 6.726
_cell_angle_alpha 90.00
_cell_angle_beta 90.53
_cell_angle_gamma 90.00
_symmetry_space_group_name_H-M 'C 1 2/m 1'
_symmetry_Int_Tables_number 12
loop_
_symmetry_equiv_pos_as_xyz
'x,y,z'
'-x,-y,-z'
'-x,y,-z'
'x,-y,z'
'x+1/2,y+1/2,z'
'-x+1/2,-y+1/2,-z'
'-x+1/2,y+1/2,-z'
'x+1/2,-y+1/2,z'
loop_
_atom_site_label
_atom_site_type_symbol
_atom_site_fract_x
_atom_site_fract_y
_atom_site_fract_z
Pr1 Pr 0.021 0.000 0.288
Pr2 Pr 0.193 0.500 0.071
Dy1 Dy 0.097 0.500 0.553
Y1 Y 0.000 0.500 0.000
Y2 Y 0.131 0.000 0.885
Y3 Y 0.209 0.000 0.400


# Na3Cd3Pd2, relaxed, DFT PBE
# Calculated formation energy (kJ/mol of atoms): -13.8
# Offset from the most stable computed form (eV/atom): 0.085
data_Na3Cd3Pd2
_chemical_formula_sum 'Na3 Cd3 Pd2'
_cell_length_a 4.671
_cell_length_b 5.446
_cell_length_c 7.944
_cell_angle_alpha 98.25
_cell_angle_beta 107.04
_cell_angle_gamma 90.28
_symmetry_space_group_name_H-M 'P -1'
_symmetry_Int_Tables_number 2
loop_
_symmetry_equiv_pos_as_xyz
'x,y,z'
'-x,-y,-z'
loop_
_atom_site_label
_atom_site_type_symbol
_atom_site_fract_x
_atom_site_fract_y
_atom_site_fract_z
Na1 Na 0.000 0.000 0.000
Na2 Na 0.163 0.591 0.324
Cd1 Cd 0.368 0.854 0.738
Cd2 Cd 0.500 0.500 0.000
Pd1 Pd 0.223 0.108 0.446


# Lu2TlTe, relaxed, DFT PBE
# Raw formation energy (eV/atom): -0.5629
data_Lu2TlTe
_chemical_formula_sum 'Lu2 Tl1 Te1'
_cell_length_a 3.632
_cell_length_b 3.632
_cell_length_c 8.030
_cell_angle_alpha 90.00
_cell_angle_beta 90.00
_cell_angle_gamma 90.00
_symmetry_space_group_name_H-M 'P 4/m m m'
_symmetry_Int_Tables_number 123
_symmetry_space_group_name_Hall '-P 4 2'
loop_
_atom_site_label
_atom_site_type_symbol
_atom_site_fract_x
_atom_site_fract_y
_atom_site_fract_z
Lu1 Lu 0.000 0.000 0.238
Tl1 Tl 0.500 0.500 0.500
Te1 Te 0.500 0.500 0.000


# Tb5HoTh, relaxed, DFT PBE
# Calculated formation energy (kJ/mol of atoms): 19.3
# Offset from the most stable computed form (eV/atom): 0.000
data_Tb5HoTh
_chemical_formula_sum 'Tb20 Ho4 Th4'
_cell_length_a 6.129
_cell_length_b 17.560
_cell_length_c 8.660
_cell_angle_alpha 90.00
_cell_angle_beta 101.59
_cell_angle_gamma 90.00
_symmetry_space_group_name_H-M 'C 1 2/c 1'
_symmetry_Int_Tables_number 15
loop_
_symmetry_equiv_pos_as_xyz
'x,y,z'
'-x,-y,-z'
'-x,y,-z+1/2'
'x,-y,z+1/2'
'x+1/2,y+1/2,z'
'-x+1/2,-y+1/2,-z'
'-x+1/2,y+1/2,-z+1/2'
'x+1/2,-y+1/2,z+1/2'
loop_
_atom_site_label
_atom_site_type_symbol
_atom_site_fract_x
_atom_site_fract_y
_atom_site_fract_z
Tb1 Tb 0.000 0.148 0.250
Tb2 Tb 0.115 0.346 0.963
Tb3 Tb 0.200 0.186 0.645
Ho1 Ho 0.000 0.487 0.250
Th1 Th 0.000 0.000 0.000


# Zr3P, relaxed, DFT PBE
# Calculated formation energy (kJ/mol of atoms): 35.5
# Offset from the most stable computed form (eV/atom): 1.231
data_Zr3P
_chemical_formula_sum 'Zr3 P1'
_cell_length_a 4.932
_cell_length_b 4.932
_cell_length_c 4.932
_cell_angle_alpha 90.00
_cell_angle_beta 90.00
_cell_angle_gamma 90.00
_symmetry_space_group_name_H-M 'P m -3 m'
_symmetry_Int_Tables_number 221
_symmetry_space_group_name_Hall '-P 4 2 3'
loop_
_atom_site_label
_atom_site_type_symbol
_atom_site_fract_x
_atom_site_fract_y
_atom_site_fract_z
Zr1 Zr 0.000 0.000 0.500
P1 P 0.000 0.000 0.000


# GdZn4Sn, relaxed, DFT PBE
# Calculated formation energy (kJ/mol of atoms): -16.5
data_GdZn4Sn
_chemical_formula_sum 'Gd4 Zn16 Sn4'
_cell_length_a 7.767
_cell_length_b 7.767
_cell_length_c 7.767
_cell_angle_alpha 90.00
_cell_angle_beta 90.00
_cell_angle_gamma 90.00
_symmetry_space_group_name_H-M 'F -4 3 m'
_symmetry_Int_Tables_number 216
_symmetry_space_group_name_Hall 'F -4 2 3'
loop_
_atom_site_label
_atom_site_type_symbol
_atom_site_fract_x
_atom_site_fract_y
_atom_site_fract_z
Gd1 Gd 0.000 0.000 0.000
Zn1 Zn 0.125 0.125 0.375
Sn1 Sn 0.250 0.250 0.750


# Tl2SnTe5, relaxed, DFT PBE
# Offset from the most stable computed form (eV/atom): 0.050
# Raw formation energy (eV/atom): -0.1383
data_Tl2SnTe5
_chemical_formula_sum 'Tl4 Sn2 Te10'
_cell_length_a 11.229
_cell_length_b 8.810
_cell_length_c 6.660
_cell_angle_alpha 90.00
_cell_angle_beta 126.07
_cell_angle_gamma 90.00
_symmetry_space_group_name_H-M 'C 1 m 1'
_symmetry_Int_Tables_number 8
loop_
_symmetry_equiv_pos_as_xyz
'x,y,z'
'x,-y,z'
'x+1/2,y+1/2,z'
'x+1/2,-y+1/2,z'
loop_
_atom_site_label
_atom_site_type_symbol
_atom_site_fract_x
_atom_site_fract_y
_atom_site_fract_z
Tl1 Tl 0.000 0.000 0.000
Tl2 Tl 0.002 0.000 0.502
Sn1 Sn 0.467 0.000 0.715
Te1 Te 0.248 0.258 0.999
Te2 Te 0.251 0.254 0.501
Te3 Te 0.457 0.000 0.207


# EuDyZnAg, relaxed, DFT PBE
# Calculated formation energy (kJ/mol of atoms): -25.6
data_EuDyZnAg
_chemical_formula_sum 'Eu4 Dy4 Zn4 Ag4'
_cell_length_a 7.367
_cell_length_b 7.367
_cell_length_c 7.367
_cell_angle_alpha 90.00
_cell_angle_beta 90.00
_cell_angle_gamma 90.00
_symmetry_space_group_name_H-M 'F -4 3 m'
_symmetry_Int_Tables_number 216
_symmetry_space_group_name_Hall 'F -4 2 3'
loop_
_atom_site_label
_atom_site_type_symbol
_atom_site_fract_x
_atom_site_fract_y
_atom_site_fract_z
Eu1 Eu 0.000 0.000 0.000
Dy1 Dy 0.000 0.000 0.500
Zn1 Zn 0.250 0.250 0.750
Ag1 Ag 0.250 0.250 0.250


# Li3Pu2NiS6, relaxed, DFT PBE
# Raw formation energy (eV/atom): -1.2171
data_Li3Pu2NiS6
_chemical_formula_sum 'Li6 Pu4 Ni2 S12'
_cell_length_a 6.505
_cell_length_b 11.267
_cell_length_c 6.498
_cell_angle_alpha 90.00
_cell_angle_beta 109.38
_cell_angle_gamma 90.00
_symmetry_space_group_name_H-M 'C 1 2/m 1'
_symmetry_Int_Tables_number 12
loop_
_symmetry_equiv_pos_as_xyz
'x,y,z'
'-x,-y,-z'
'-x,y,-z'
'x,-y,z'
'x+1/2,y+1/2,z'
'-x+1/2,-y+1/2,-z'
'-x+1/2,y+1/2,-z'
'x+1/2,-y+1/2,z'
loop_
_atom_site_label
_atom_site_type_symbol
_atom_site_fract_x
_atom_site_fract_y
_atom_site_fract_z
Li1 Li 0.000 0.000 0.000
Li2 Li 0.000 0.336 0.000
Pu1 Pu 0.000 0.167 0.500
Ni1 Ni 0.000 0.500 0.500
S1 S 0.236 0.500 0.258
S2 S 0.241 0.341 0.746


# Ba2CuHPb, relaxed, DFT PBE
# VASP energy (eV/atom): -3.2413
data_Ba2CuHPb
_chemical_formula_sum 'Ba2 Cu1 H1 Pb1'
_cell_length_a 5.994
_cell_length_b 5.994
_cell_length_c 3.993
_cell_angle_alpha 90.00
_cell_angle_beta 90.00
_cell_angle_gamma 90.00
_symmetry_space_group_name_H-M 'P 4/m m m'
_symmetry_Int_Tables_number 123
_symmetry_space_group_name_Hall '-P 4 2'
loop_
_atom_site_label
_atom_site_type_symbol
_atom_site_fract_x
_atom_site_fract_y
_atom_site_fract_z
Ba1 Ba 0.000 0.500 0.000
Cu1 Cu 0.000 0.000 0.500
H1 H 0.000 0.000 0.000
Pb1 Pb 0.500 0.500 0.500